Below is crystalline Na2PtPb2 at its relaxed geometry, with properties calculated at the PBE level.

Results
The value obtained for the energy of formation from the pure elements is -0.7 eV per formula unit. Its energy above the most stable polymorph in this dataset is 0.0428 eV per atom. Its total magnetization is 0.0 μB/cell. The space-group type is P4/mbm (127).

Cell lengths 7.2314, 7.2314, 5.2072 Å; angles 90.00, 90.00, 90.00 degrees
Last column: nearest neighbours and their distance in Å.
Fractional positions:
Na  0.1712  0.3288  0.0000  6 Pb 3.19-3.49, 1 Na 3.50
Na  0.3288  0.8288  0.0000  6 Pb 3.19-3.49, 1 Na 3.50
Na  0.6712  0.1712  0.0000  6 Pb 3.19-3.49, 1 Na 3.50
Na  0.8288  0.6712  0.0000  6 Pb 3.19-3.49, 1 Na 3.50
Pt  0.0000  0.0000  0.5000  4 Pb 2.76
Pt  0.5000  0.5000  0.5000  4 Pb 2.76
Pb  0.1489  0.6489  0.5000  2 Pt 2.76, 1 Pb 3.05
Pb  0.3511  0.1489  0.5000  2 Pt 2.76, 1 Pb 3.05
Pb  0.6489  0.8511  0.5000  2 Pt 2.76, 1 Pb 3.05
Pb  0.8511  0.3511  0.5000  2 Pt 2.76, 1 Pb 3.05